This record from the Alexandria database describes a relaxed Sc4InHg5 crystal. The functional is PBE.

Calculated values
energy relative to the elements: -339.3 meV/atom
magnetic moment: 0.05 μB per atom
VASP energy: -3.30 eV/atom

Geometry as CIF:
```
data_Sc4InHg5
_chemical_formula_sum 'Sc4 In1 Hg5'
_space_group_name_H-M_alt 'P 4/m m m'
_space_group_IT_number 123
_space_group_name_Hall '-P 4 2'
_cell_length_a 3.5758
_cell_length_b 3.5758
_cell_length_c 17.4213
_cell_angle_alpha 90.00
_cell_angle_beta 90.00
_cell_angle_gamma 90.00
loop_
_atom_site_label
_atom_site_fract_x
_atom_site_fract_y
_atom_site_fract_z
Sc1 0.0000 0.0000 0.0989
Sc2 0.0000 0.0000 0.2989
In1 0.0000 0.0000 0.5000
Hg1 0.5000 0.5000 0.0000
Hg2 0.5000 0.5000 0.1946
Hg3 0.5000 0.5000 0.3921
```

This record from the Alexandria database describes a relaxed Sc2InHg crystal. The functional is PBE.

Calculated values
energy relative to the elements: 255.8 meV/atom
magnetic moment: 0.00 μB per atom
VASP energy: -3.67 eV/atom

Geometry as CIF:
```
data_Sc2InHg
_chemical_formula_sum 'Sc4 In2 Hg2'
_space_group_name_H-M_alt 'I m m m'
_space_group_IT_number 71
_space_group_name_Hall '-I 2 2'
_cell_length_a 3.1364
_cell_length_b 5.6624
_cell_length_c 12.0418
_cell_angle_alpha 90.00
_cell_angle_beta 90.00
_cell_angle_gamma 90.00
loop_
_atom_site_label
_atom_site_fract_x
_atom_site_fract_y
_atom_site_fract_z
Sc1 0.0000 0.0000 0.2436
In1 0.0000 0.0000 0.5000
Hg1 0.0000 0.0000 0.0000
```

This record from the Alexandria database describes a relaxed Sc5In2Hg crystal. The functional is PBE.

Calculated values
energy relative to the elements: -355.0 meV/atom
magnetic moment: 0.11 μB per atom
VASP energy: -5.03 eV/atom

Geometry as CIF:
```
data_Sc5In2Hg
_chemical_formula_sum 'Sc10 In4 Hg2'
_space_group_name_H-M_alt 'P b a m'
_space_group_IT_number 55
_cell_length_a 6.2691
_cell_length_b 12.3857
_cell_length_c 4.7517
_cell_angle_alpha 90.00
_cell_angle_beta 90.00
_cell_angle_gamma 90.00
loop_
_space_group_symop_operation_xyz
'x,y,z'
'-x,-y,-z'
'-x,-y,z'
'x,y,-z'
'x+1/2,-y+1/2,-z'
'-x+1/2,y+1/2,z'
'-x+1/2,y+1/2,-z'
'x+1/2,-y+1/2,z'
loop_
_atom_site_label
_atom_site_fract_x
_atom_site_fract_y
_atom_site_fract_z
Sc1 0.0000 0.0000 0.0000
Sc2 0.0917 0.2661 0.0000
Sc3 0.1879 0.6108 0.5000
In1 0.1643 0.8578 0.5000
Hg1 0.0000 0.5000 0.0000
```

This record from the Alexandria database describes a relaxed Sc3InHg5 crystal. The functional is PBE.

Calculated values
energy relative to the elements: -304.2 meV/atom
magnetic moment: 0.00 μB per atom
VASP energy: -2.89 eV/atom

Geometry as CIF:
```
data_Sc3InHg5
_chemical_formula_sum 'Sc6 In2 Hg10'
_space_group_name_H-M_alt 'P 63/m c m'
_space_group_IT_number 193
_space_group_name_Hall '-P 6c 2'
_cell_length_a 8.6217
_cell_length_b 8.6217
_cell_length_c 6.1624
_cell_angle_alpha 90.00
_cell_angle_beta 90.00
_cell_angle_gamma 120.00
loop_
_atom_site_label
_atom_site_fract_x
_atom_site_fract_y
_atom_site_fract_z
Sc1 0.0000 0.3364 0.2500
In1 0.0000 0.0000 0.0000
Hg1 0.0000 0.3317 0.7500
Hg2 0.3333 0.6667 0.0000
```

This record from the Alexandria database describes a relaxed Sc2InHg crystal. The functional is PBE.

Calculated values
energy relative to the elements: -341.5 meV/atom
magnetic moment: 0.00 μB per atom
VASP energy: -4.27 eV/atom

Geometry as CIF:
```
data_Sc2InHg
_chemical_formula_sum 'Sc4 In2 Hg2'
_space_group_name_H-M_alt 'I m m 2'
_space_group_IT_number 44
_cell_length_a 3.5148
_cell_length_b 4.9167
_cell_length_c 10.4952
_cell_angle_alpha 90.00
_cell_angle_beta 90.00
_cell_angle_gamma 90.00
loop_
_space_group_symop_operation_xyz
'x,y,z'
'-x,-y,z'
'-x,y,z'
'x,-y,z'
'x+1/2,y+1/2,z+1/2'
'-x+1/2,-y+1/2,z+1/2'
'-x+1/2,y+1/2,z+1/2'
'x+1/2,-y+1/2,z+1/2'
loop_
_atom_site_label
_atom_site_fract_x
_atom_site_fract_y
_atom_site_fract_z
Sc1 0.0000 0.0000 0.0000
Sc2 0.0000 0.5000 0.2401
In1 0.0000 0.0000 0.4740
Hg1 0.0000 0.5000 0.7427
```

This record from the Alexandria database describes a relaxed Sc4In2Hg3 crystal. The functional is PBE.

Calculated values
energy relative to the elements: -325.2 meV/atom
magnetic moment: 0.08 μB per atom
VASP energy: -3.85 eV/atom

Geometry as CIF:
```
data_Sc4In2Hg3
_chemical_formula_sum 'Sc8 In4 Hg6'
_space_group_name_H-M_alt 'C 1 2/m 1'
_space_group_IT_number 12
_cell_length_a 9.4522
_cell_length_b 4.5229
_cell_length_c 9.6917
_cell_angle_alpha 90.00
_cell_angle_beta 104.36
_cell_angle_gamma 90.00
loop_
_space_group_symop_operation_xyz
'x,y,z'
'-x,-y,-z'
'-x,y,-z'
'x,-y,z'
'x+1/2,y+1/2,z'
'-x+1/2,-y+1/2,-z'
'-x+1/2,y+1/2,-z'
'x+1/2,-y+1/2,z'
loop_
_atom_site_label
_atom_site_fract_x
_atom_site_fract_y
_atom_site_fract_z
Sc1 0.0085 0.0000 0.3302
Sc2 0.1635 0.5000 0.8928
In1 0.1692 0.5000 0.2205
Hg1 0.0000 0.0000 0.0000
Hg2 0.1617 0.5000 0.5702
```

This record from the Alexandria database describes a relaxed Sc2InHg2 crystal. The functional is PBE.

Calculated values
energy relative to the elements: -226.8 meV/atom
magnetic moment: 0.00 μB per atom
VASP energy: -3.43 eV/atom

Geometry as CIF:
```
data_Sc2InHg2
_chemical_formula_sum 'Sc4 In2 Hg4'
_space_group_name_H-M_alt 'P 4/m b m'
_space_group_IT_number 127
_space_group_name_Hall '-P 4 2ab'
_cell_length_a 8.0549
_cell_length_b 8.0549
_cell_length_c 3.6597
_cell_angle_alpha 90.00
_cell_angle_beta 90.00
_cell_angle_gamma 90.00
loop_
_atom_site_label
_atom_site_fract_x
_atom_site_fract_y
_atom_site_fract_z
Sc1 0.1551 0.3449 0.0000
In1 0.0000 0.0000 0.0000
Hg1 0.1436 0.6436 0.5000
```

This record from the Alexandria database describes a relaxed Sc3In2Hg2 crystal. The functional is PBE.

Calculated values
energy relative to the elements: -298.1 meV/atom
magnetic moment: 0.00 μB per atom
VASP energy: -3.88 eV/atom

Geometry as CIF:
```
data_Sc3In2Hg2
_chemical_formula_sum 'Sc3 In2 Hg2'
_space_group_name_H-M_alt 'P -1'
_space_group_IT_number 2
_cell_length_a 4.8656
_cell_length_b 4.9841
_cell_length_c 8.2791
_cell_angle_alpha 102.49
_cell_angle_beta 91.09
_cell_angle_gamma 119.09
loop_
_space_group_symop_operation_xyz
'x,y,z'
'-x,-y,-z'
loop_
_atom_site_label
_atom_site_fract_x
_atom_site_fract_y
_atom_site_fract_z
Sc1 0.0000 0.0000 0.0000
Sc2 0.2598 0.5389 0.7171
In1 0.3718 0.7341 0.1396
Hg1 0.0931 0.1593 0.3636
```

This record from the Alexandria database describes a relaxed Sc2InHg2 crystal. The functional is PBE.

Calculated values
energy relative to the elements: -20.7 meV/atom
magnetic moment: 0.19 μB per atom
VASP energy: -3.22 eV/atom

Geometry as CIF:
```
data_Sc2InHg2
_chemical_formula_sum 'Sc4 In2 Hg4'
_space_group_name_H-M_alt 'I 4/m m m'
_space_group_IT_number 139
_space_group_name_Hall '-I 4 2'
_cell_length_a 4.5550
_cell_length_b 4.5550
_cell_length_c 12.4096
_cell_angle_alpha 90.00
_cell_angle_beta 90.00
_cell_angle_gamma 90.00
loop_
_atom_site_label
_atom_site_fract_x
_atom_site_fract_y
_atom_site_fract_z
Sc1 0.0000 0.5000 0.2500
In1 0.0000 0.0000 0.0000
Hg1 0.0000 0.0000 0.3910
```

This record from the Alexandria database describes a relaxed Sc2InHg crystal. The functional is PBE.

Calculated values
energy relative to the elements: -77.4 meV/atom
magnetic moment: 0.00 μB per atom
VASP energy: -4.00 eV/atom

Geometry as CIF:
```
data_Sc2InHg
_chemical_formula_sum 'Sc8 In4 Hg4'
_space_group_name_H-M_alt 'I -4 2 d'
_space_group_IT_number 122
_space_group_name_Hall 'I -4 2bw'
_cell_length_a 7.7938
_cell_length_b 7.7938
_cell_length_c 6.5314
_cell_angle_alpha 90.00
_cell_angle_beta 90.00
_cell_angle_gamma 90.00
loop_
_atom_site_label
_atom_site_fract_x
_atom_site_fract_y
_atom_site_fract_z
Sc1 0.2354 0.2500 0.1250
In1 0.0000 0.0000 0.5000
Hg1 0.0000 0.0000 0.0000
```

This record from the Alexandria database describes a relaxed Sc5In2Hg2 crystal. The functional is PBE.

Calculated values
energy relative to the elements: -307.8 meV/atom
magnetic moment: 0.00 μB per atom
VASP energy: -4.50 eV/atom

Geometry as CIF:
```
data_Sc5In2Hg2
_chemical_formula_sum 'Sc20 In8 Hg8'
_space_group_name_H-M_alt 'C m c e'
_space_group_IT_number 64
_space_group_name_Hall '-C 2ac 2'
_cell_length_a 15.3414
_cell_length_b 8.1906
_cell_length_c 6.8213
_cell_angle_alpha 90.00
_cell_angle_beta 90.00
_cell_angle_gamma 90.00
loop_
_atom_site_label
_atom_site_fract_x
_atom_site_fract_y
_atom_site_fract_z
Sc1 0.0000 0.0000 0.0000
Sc2 0.1395 0.1876 0.3390
In1 0.2112 0.0000 0.0000
Hg1 0.0000 0.1460 0.6219
```

This record from the Alexandria database describes a relaxed ScIn2Hg5 crystal. The functional is PBE.

Calculated values
energy relative to the elements: -94.7 meV/atom
magnetic moment: 0.00 μB per atom
VASP energy: -1.76 eV/atom

Geometry as CIF:
```
data_ScIn2Hg5
_chemical_formula_sum 'Sc2 In4 Hg10'
_space_group_name_H-M_alt 'I 4/m m m'
_space_group_IT_number 139
_space_group_name_Hall '-I 4 2'
_cell_length_a 4.6477
_cell_length_b 4.6477
_cell_length_c 17.7817
_cell_angle_alpha 90.00
_cell_angle_beta 90.00
_cell_angle_gamma 90.00
loop_
_atom_site_label
_atom_site_fract_x
_atom_site_fract_y
_atom_site_fract_z
Sc1 0.0000 0.0000 0.0000
In1 0.0000 0.0000 0.2438
Hg1 0.0000 0.0000 0.5000
Hg2 0.0000 0.5000 0.1197
```

Which value of energy relative to the elements does entry 10 give? -77.4 meV/atom